Compound: AcHgBi
Source: Alexandria via LeMat-Bulk
Functional: PBE
Structure: optimized geometry

Cell and atoms, written as CIF:
```
data_AcHgBi
_cell_length_a 6.941
_cell_length_b 6.813
_cell_length_c 9.028
_cell_angle_alpha 90.00
_cell_angle_beta 112.29
_cell_angle_gamma 90.00
_symmetry_space_group_name_H-M 'P 1'
_symmetry_Int_Tables_number 1
loop_
_symmetry_equiv_pos_as_xyz
'x,y,z'
loop_
_atom_site_label
_atom_site_type_symbol
_atom_site_fract_x
_atom_site_fract_y
_atom_site_fract_z
_atom_site_occupancy
Ac1 Ac 0.224 0.136 0.386 1
Ac2 Ac 0.224 0.364 0.886 1
Ac3 Ac 0.776 0.636 0.114 1
Ac4 Ac 0.776 0.864 0.614 1
Hg1 Hg 0.121 0.674 0.487 1
Hg2 Hg 0.121 0.826 0.987 1
Hg3 Hg 0.879 0.174 0.013 1
Hg4 Hg 0.879 0.326 0.513 1
Bi1 Bi 0.389 0.603 0.287 1
Bi2 Bi 0.389 0.897 0.787 1
Bi3 Bi 0.611 0.103 0.213 1
Bi4 Bi 0.611 0.397 0.713 1
```

relative energy among the computed polymorphs = 60 meV/atom
crystal system = monoclinic
energy relative to the elements = -166 kJ/mol of formula units
calculated total energy = -40.0 eV/cell
space group = No. 14

***

Compound: Ac2HgBi
Source: Alexandria via LeMat-Bulk
Functional: PBE
Structure: optimized geometry

Cell and atoms, written as CIF:
```
data_Ac2HgBi
_cell_length_a 4.589
_cell_length_b 4.589
_cell_length_c 26.016
_cell_angle_alpha 90.00
_cell_angle_beta 90.00
_cell_angle_gamma 120.00
_symmetry_space_group_name_H-M 'P 1'
_symmetry_Int_Tables_number 1
loop_
_symmetry_equiv_pos_as_xyz
'x,y,z'
loop_
_atom_site_label
_atom_site_type_symbol
_atom_site_fract_x
_atom_site_fract_y
_atom_site_fract_z
_atom_site_occupancy
Ac1 Ac 0.000 0.000 0.000 1
Ac2 Ac 0.000 0.000 0.172 1
Ac3 Ac 0.333 0.667 0.667 1
Ac4 Ac 0.333 0.667 0.838 1
Ac5 Ac 0.667 0.333 0.333 1
Ac6 Ac 0.667 0.333 0.505 1
Hg1 Hg 0.000 0.000 0.418 1
Hg2 Hg 0.333 0.667 0.085 1
Hg3 Hg 0.667 0.333 0.752 1
Bi1 Bi 0.000 0.000 0.586 1
Bi2 Bi 0.333 0.667 0.253 1
Bi3 Bi 0.667 0.333 0.919 1
```

relative energy among the computed polymorphs = 61 meV/atom
crystal system = trigonal
energy relative to the elements = -220 kJ/mol of formula units
calculated total energy = -44.1 eV/cell
space group = No. 160

***

Compound: AcHg2Bi
Source: Alexandria via LeMat-Bulk
Functional: PBE
Structure: optimized geometry

Cell and atoms, written as CIF:
```
data_AcHg2Bi
_cell_length_a 4.086
_cell_length_b 4.086
_cell_length_c 7.247
_cell_angle_alpha 90.00
_cell_angle_beta 90.00
_cell_angle_gamma 90.00
_symmetry_space_group_name_H-M 'P 1'
_symmetry_Int_Tables_number 1
loop_
_symmetry_equiv_pos_as_xyz
'x,y,z'
loop_
_atom_site_label
_atom_site_type_symbol
_atom_site_fract_x
_atom_site_fract_y
_atom_site_fract_z
_atom_site_occupancy
Ac1 Ac 0.000 0.000 0.000 1
Hg1 Hg 0.500 0.500 0.267 1
Hg2 Hg 0.500 0.500 0.733 1
Bi1 Bi 0.000 0.000 0.500 1
```

crystal system = tetragonal
energy relative to the elements = -131 kJ/mol of formula units
calculated total energy = -9.9 eV/cell
space group = No. 123

***

Compound: Ac2Hg8Bi
Source: Alexandria via LeMat-Bulk
Functional: PBE
Structure: optimized geometry

Cell and atoms, written as CIF:
```
data_Ac2Hg8Bi
_cell_length_a 8.137
_cell_length_b 8.137
_cell_length_c 9.008
_cell_angle_alpha 120.62
_cell_angle_beta 120.62
_cell_angle_gamma 39.35
_symmetry_space_group_name_H-M 'P 1'
_symmetry_Int_Tables_number 1
loop_
_symmetry_equiv_pos_as_xyz
'x,y,z'
loop_
_atom_site_label
_atom_site_type_symbol
_atom_site_fract_x
_atom_site_fract_y
_atom_site_fract_z
_atom_site_occupancy
Ac1 Ac 0.225 0.225 0.276 1
Ac2 Ac 0.775 0.775 0.724 1
Hg1 Hg 0.047 0.047 0.843 1
Hg2 Hg 0.128 0.128 0.550 1
Hg3 Hg 0.317 0.317 0.001 1
Hg4 Hg 0.420 0.420 0.769 1
Hg5 Hg 0.580 0.580 0.231 1
Hg6 Hg 0.683 0.683 0.999 1
Hg7 Hg 0.872 0.872 0.450 1
Hg8 Hg 0.953 0.953 0.157 1
Bi1 Bi 0.500 0.500 0.500 1
```

crystal system = monoclinic
energy relative to the elements = -313 kJ/mol of formula units
calculated total energy = -17.8 eV/cell
space group = No. 12

***

Compound: AcHg3Bi
Source: Alexandria via LeMat-Bulk
Functional: PBE
Structure: optimized geometry

Cell and atoms, written as CIF:
```
data_AcHg3Bi
_cell_length_a 6.479
_cell_length_b 4.659
_cell_length_c 11.064
_cell_angle_alpha 90.00
_cell_angle_beta 105.37
_cell_angle_gamma 90.00
_symmetry_space_group_name_H-M 'P 1'
_symmetry_Int_Tables_number 1
loop_
_symmetry_equiv_pos_as_xyz
'x,y,z'
loop_
_atom_site_label
_atom_site_type_symbol
_atom_site_fract_x
_atom_site_fract_y
_atom_site_fract_z
_atom_site_occupancy
Ac1 Ac 0.000 0.000 0.000 1
Ac2 Ac 0.342 0.000 0.684 1
Hg1 Hg 0.012 0.500 0.490 1
Hg2 Hg 0.261 0.000 0.350 1
Hg3 Hg 0.346 0.500 0.189 1
Hg4 Hg 0.529 0.000 0.077 1
Hg5 Hg 0.555 0.500 0.899 1
Hg6 Hg 0.959 0.500 0.762 1
Bi1 Bi 0.542 0.500 0.512 1
Bi2 Bi 0.857 0.500 0.202 1
```

relative energy among the computed polymorphs = 0 meV/atom
crystal system = monoclinic
energy relative to the elements = -107 kJ/mol of formula units
calculated total energy = -20.0 eV/cell
space group = No. 6

***

Compound: AcHgBi4
Source: Alexandria via LeMat-Bulk
Functional: PBE
Structure: optimized geometry

Cell and atoms, written as CIF:
```
data_AcHgBi4
_cell_length_a 6.620
_cell_length_b 6.620
_cell_length_c 6.620
_cell_angle_alpha 60.00
_cell_angle_beta 60.00
_cell_angle_gamma 60.00
_symmetry_space_group_name_H-M 'P 1'
_symmetry_Int_Tables_number 1
loop_
_symmetry_equiv_pos_as_xyz
'x,y,z'
loop_
_atom_site_label
_atom_site_type_symbol
_atom_site_fract_x
_atom_site_fract_y
_atom_site_fract_z
_atom_site_occupancy
Ac1 Ac 0.000 0.000 0.000 1
Hg1 Hg 0.250 0.250 0.250 1
Bi1 Bi 0.129 0.624 0.624 1
Bi2 Bi 0.624 0.129 0.624 1
Bi3 Bi 0.624 0.624 0.129 1
Bi4 Bi 0.624 0.624 0.624 1
```

relative energy among the computed polymorphs = 48 meV/atom
crystal system = cubic
energy relative to the elements = -125 kJ/mol of formula units
calculated total energy = -21.2 eV/cell
space group = No. 216